# Ba2NaHg2 (GGA-PBE, relaxed)
# energy of formation from the pure elements = -0.28 eV/atom
# DFT total energy = -1.430 eV per atom
# E above lowest polymorph = 124 meV per atom
data_Ba2NaHg2
_symmetry_space_group_name_H-M 'P 1'
_symmetry_Int_Tables_number 1
_symmetry_space_group_name_Hall 'P 1'
_cell_length_a 6.6467
_cell_length_b 6.6467
_cell_length_c 9.5160
_cell_angle_alpha 90.00
_cell_angle_beta 90.00
_cell_angle_gamma 90.00
loop_
_atom_site_label
_atom_site_fract_x
_atom_site_fract_y
_atom_site_fract_z
Ba1 0.0000 0.5000 0.2500
Ba2 0.0000 0.5000 0.7500
Ba3 0.5000 0.0000 0.2500
Ba4 0.5000 0.0000 0.7500
Na1 0.0000 0.0000 0.0000
Na2 0.5000 0.5000 0.5000
Hg1 0.0000 0.0000 0.3499
Hg2 0.0000 0.0000 0.6501
Hg3 0.5000 0.5000 0.1501
Hg4 0.5000 0.5000 0.8499

# UGaPt2 (GGA-PBE, relaxed)
# energy of formation from the pure elements = -0.67 eV/atom
# DFT total energy = -7.266 eV per atom
data_UGaPt2
_symmetry_space_group_name_H-M 'P 1'
_symmetry_Int_Tables_number 1
_symmetry_space_group_name_Hall 'P 1'
_cell_length_a 7.5057
_cell_length_b 6.9573
_cell_length_c 5.7632
_cell_angle_alpha 90.00
_cell_angle_beta 90.00
_cell_angle_gamma 90.00
loop_
_atom_site_label
_atom_site_fract_x
_atom_site_fract_y
_atom_site_fract_z
U1 0.0394 0.2500 0.1574
U2 0.4606 0.7500 0.6574
U3 0.5394 0.2500 0.3426
U4 0.9606 0.7500 0.8426
Ga1 0.1067 0.7500 0.3392
Ga2 0.3933 0.2500 0.8392
Ga3 0.6067 0.7500 0.1608
Ga4 0.8933 0.2500 0.6608
Pt1 0.1886 0.0462 0.5826
Pt2 0.1886 0.4538 0.5826
Pt3 0.3114 0.5462 0.0826
Pt4 0.3114 0.9538 0.0826
Pt5 0.6886 0.0462 0.9174
Pt6 0.6886 0.4538 0.9174
Pt7 0.8114 0.5462 0.4174
Pt8 0.8114 0.9538 0.4174

Q: Which of these has the highest energy of formation from the pure elements?
A: Ba2NaHg2

Q: The lowest DFT total energy belongs to which entry?
A: UGaPt2